ZnTe2Ir2, relaxed, DFT PBE-GGA; SG = I4/mmm (139); M_tot = 0.00 Bohr magnetons per cell; formation energy (no corrections) = 192 meV/atom
1.0
-2.6208 2.6208 3.8880
2.6208 -2.6208 3.8880
2.6208 2.6208 -3.8880
Zn Te Ir
1 2 2
direct
0.0000 0.0000 0.0000
0.2500 0.7500 0.5000
0.7500 0.2500 0.5000
0.3359 0.3359 0.0000
0.6641 0.6641 0.0000


Cd3GaAu, relaxed, DFT PBE-GGA; SG = Pm-3m (221); M_tot = 0.00 Bohr magnetons per cell; energy of formation from the pure elements = 0.175 eV/atom; polymorph energy (0 for the lowest one) = 250 meV/atom
1.0
5.2805 0.0000 0.0000
0.0000 5.2805 0.0000
0.0000 0.0000 5.2805
Cd Ga Au
3 1 1
direct
0.0000 0.0000 0.5000
0.0000 0.5000 0.0000
0.5000 0.0000 0.0000
0.5000 0.5000 0.5000
0.0000 0.0000 0.0000


AsOs, relaxed, DFT PBE-GGA; SG = Pmmn (59); M_tot = 0.00 Bohr magnetons per cell; energy of formation from the pure elements = 0.474 eV/atom
1.0
3.0781 0.0000 0.0000
0.0000 13.1285 0.0000
0.0000 0.0000 5.7022
As Os
6 6
direct
0.2500 0.1079 0.2234
0.2500 0.3921 0.2234
0.2500 0.7500 0.1902
0.7500 0.2500 0.8098
0.7500 0.6079 0.7766
0.7500 0.8921 0.7766
0.2500 0.2500 0.4918
0.2500 0.5747 0.1067
0.2500 0.9253 0.1067
0.7500 0.0747 0.8933
0.7500 0.4253 0.8933
0.7500 0.7500 0.5082